No. 1
VASP calculation (PBE) on a relaxed structure of TmTl2Cd.

The formation enthalpy at 0 K is -0.191 eV per atom. Its final energy is -2.721 eV/atom. As for the density: 11293 kg/m3. As for the volume: 101.47 Å³ per cell.

Geometry as extended XYZ:
```
4
Lattice="-0.859 3.640 -2.549 -4.621 -1.026 0.093 -0.503 2.621 3.911" Properties=species:S:1:pos:R:3 pbc="T T T"
Tl -0.251 1.310 1.956
Tl -2.311 -0.513 0.047
Tm -0.430 1.820 -1.275
Cd -2.992 2.617 0.728
```

---

No. 2
VASP calculation (PBE) on a relaxed structure of LaAgMoPt.

The formation enthalpy at 0 K is -0.069 eV per atom. Its final energy is -6.232 eV/atom. As for the density: 9822 kg/m3. As for the volume: 181.84 Å³ per cell.

Geometry as extended XYZ:
```
8
Lattice="5.779 0.000 0.010 0.000 4.508 0.000 -3.525 0.000 6.974" Properties=species:S:1:pos:R:3 pbc="T T T"
La -3.095 0.000 6.303
La -1.332 2.254 2.816
Ag 3.319 0.000 0.791
Ag 1.556 2.254 4.278
Mo -0.060 0.000 4.920
Mo 1.702 2.254 1.433
Pt 1.229 0.000 2.652
Pt -0.533 2.254 6.139
```

---

No. 3
VASP calculation (PBE) on a relaxed structure of Sm4SiAs3.

For the formation energy (no corrections), the calculation gives -1.25 eV/atom. Its final energy is -6.030 eV/atom. As for the density: 6717 kg/m3. As for the volume: 211.19 Å³ per cell.

Geometry as extended XYZ:
```
8
Lattice="-3.989 -0.694 4.366 -1.329 -5.421 -2.076 4.217 -2.365 3.477" Properties=species:S:1:pos:R:3 pbc="T T T"
Si 0.000 0.000 0.000
As 1.444 -3.893 0.700
As 0.114 -1.530 3.922
As -2.659 -3.058 1.145
Sm -1.995 -0.347 2.183
Sm -0.665 -2.710 -1.038
Sm 2.108 -1.183 1.738
Sm -0.551 -4.240 2.883
```

---

No. 4
VASP calculation (PBE) on a relaxed structure of RbScNbPt.

The formation enthalpy at 0 K is 0.188 eV per atom. Its final energy is -5.665 eV/atom. As for the density: 6262 kg/m3. As for the volume: 110.96 Å³ per cell.

Geometry as extended XYZ:
```
4
Lattice="3.054 0.000 -0.043 0.000 3.966 0.000 -1.363 0.000 9.180" Properties=species:S:1:pos:R:3 pbc="T T T"
Rb 0.281 0.000 4.238
Sc 0.236 1.983 0.722
Nb 1.864 1.983 7.243
Pt 0.363 0.000 8.450
```

---

No. 5
VASP calculation (PBE) on a relaxed structure of BePAu.

The formation enthalpy at 0 K is -0.099 eV per atom. Its final energy is -4.237 eV/atom. As for the density: 7549 kg/m3. As for the volume: 104.25 Å³ per cell.

Geometry as extended XYZ:
```
6
Lattice="3.766 0.000 -0.001 -0.191 6.372 0.008 -0.088 -0.712 4.343" Properties=species:S:1:pos:R:3 pbc="T T T"
Be 1.544 1.256 1.788
Be 3.258 4.494 1.362
Au 0.375 0.702 3.940
Au 2.172 3.222 3.368
P 1.328 3.427 1.150
P 3.394 0.202 1.683
```

---

No. 6
VASP calculation (PBE) on a relaxed structure of LiCa3Pm4S8.

For the formation energy (no corrections), the calculation gives -2.01 eV/atom. Its final energy is -5.751 eV/atom. As for the density: 4375 kg/m3. As for the volume: 365.73 Å³ per cell.

Geometry as extended XYZ:
```
16
Lattice="7.996 0.000 0.000 0.000 8.059 0.039 -3.998 -3.994 5.657" Properties=species:S:1:pos:R:3 pbc="T T T"
Li 0.000 4.029 0.019
Ca 3.998 4.029 0.019
Ca 1.999 2.032 2.848
Ca -1.999 2.032 2.848
Pm 3.998 0.000 0.000
Pm 1.999 -1.997 2.828
Pm 0.000 0.000 0.000
Pm -1.999 -1.997 2.828
S -2.015 2.022 5.678
S 0.000 4.035 2.827
S 0.000 0.038 2.852
S 2.015 2.022 5.678
S 1.983 2.043 0.018
S 3.998 4.027 2.843
S 3.998 0.030 2.869
S 6.013 2.043 0.018
```

---

No. 7
VASP calculation (PBE) on a relaxed structure of HfVNiMo.

The formation enthalpy at 0 K is -0.108 eV per atom. Its final energy is -9.029 eV/atom. As for the density: 10446 kg/m3. As for the volume: 61.05 Å³ per cell.

Geometry as extended XYZ:
```
4
Lattice="4.420 0.000 0.000 2.210 3.828 0.000 2.210 1.276 3.609" Properties=species:S:1:pos:R:3 pbc="T T T"
Ni 2.210 1.276 0.902
Mo 6.630 3.828 2.707
Hf 0.000 0.000 0.000
V 4.420 2.552 1.804
```

---

No. 8
VASP calculation (PBE) on a relaxed structure of La8SiIr3I3.

For the formation energy (no corrections), the calculation gives -0.92 eV/atom. Its final energy is -5.988 eV/atom. As for the density: 6803 kg/m3. As for the volume: 511.80 Å³ per cell.

Geometry as extended XYZ:
```
15
Lattice="8.624 0.000 0.000 -4.312 7.472 -0.026 0.000 -4.955 7.960" Properties=species:S:1:pos:R:3 pbc="T T T"
La 0.000 2.494 2.428
La 4.312 0.024 5.505
La 4.312 2.396 2.431
La 0.000 0.122 5.503
La 6.377 -1.189 2.444
La -2.066 3.707 5.490
La 2.246 -1.189 2.444
La 2.066 3.707 5.490
Si 0.000 -2.478 3.980
Ir 4.312 -2.478 3.980
Ir 2.156 1.259 3.967
Ir -2.156 1.259 3.967
I 0.000 0.000 0.000
I -2.156 3.736 -0.013
I 2.156 3.736 -0.013
```

---

No. 9
VASP calculation (PBE) on a relaxed structure of LiP2HRu.

Its final energy is -4.427 eV/atom. As for the density: 4890 kg/m3. As for the volume: 58.05 Å³ per cell.

Geometry as extended XYZ:
```
5
Lattice="-3.385 -1.845 2.307 -0.012 -2.238 -1.807 2.954 -2.137 2.625" Properties=species:S:1:pos:R:3 pbc="T T T"
Ru -0.222 -3.110 1.562
Li 0.000 0.000 0.000
H -0.006 -1.119 -0.904
P 1.477 -1.069 1.313
P -1.693 -0.922 1.153
```

---

No. 10
VASP calculation (PBE) on a relaxed structure of Te2PbNO.

For the formation energy (no corrections), the calculation gives 1.60 eV/atom. Its final energy is -3.057 eV/atom. As for the density: 5141 kg/m3. As for the volume: 159.05 Å³ per cell.

Geometry as extended XYZ:
```
5
Lattice="5.983 0.000 0.000 0.000 5.983 0.000 0.000 0.000 4.443" Properties=species:S:1:pos:R:3 pbc="T T T"
Pb 0.000 0.000 0.000
Te 0.000 2.991 0.000
Te 2.991 0.000 0.000
O 2.991 2.991 2.222
N 0.000 0.000 2.222
```

---

No. 11
VASP calculation (PBE) on a relaxed structure of Sm2YPd2.

The formation enthalpy at 0 K is -0.685 eV per atom. Its final energy is -5.942 eV/atom. As for the density: 7969 kg/m3. As for the volume: 251.07 Å³ per cell.

Geometry as extended XYZ:
```
10
Lattice="-3.717 -1.297 -0.713 2.913 -6.828 -2.768 -0.320 -3.091 7.287" Properties=species:S:1:pos:R:3 pbc="T T T"
Sm -1.584 -3.855 4.044
Sm -0.181 -7.779 3.863
Sm 0.460 -7.360 -0.238
Sm -0.943 -3.436 -0.056
Y 0.000 0.000 0.000
Y 1.296 -4.959 2.260
Pd 0.800 -5.219 5.318
Pd 2.334 -7.888 2.180
Pd 1.793 -4.700 -0.798
Pd 0.259 -2.030 2.340
```

---

No. 12
VASP calculation (PBE) on a relaxed structure of ErHfCuAu.

The formation enthalpy at 0 K is -0.338 eV per atom. Its final energy is -5.810 eV/atom. As for the density: 12570 kg/m3. As for the volume: 80.09 Å³ per cell.

Geometry as extended XYZ:
```
4
Lattice="4.838 0.000 0.000 2.419 4.190 0.000 2.419 1.397 3.950" Properties=species:S:1:pos:R:3 pbc="T T T"
Hf 4.838 2.793 1.975
Au 7.257 4.190 2.963
Cu 2.419 1.397 0.988
Er 0.000 0.000 0.000
```

---

No. 13
VASP calculation (PBE) on a relaxed structure of PuHgRu.

The formation enthalpy at 0 K is 0.046 eV per atom. Its final energy is -7.924 eV/atom. As for the density: 14516 kg/m3. As for the volume: 62.42 Å³ per cell.

Geometry as extended XYZ:
```
3
Lattice="3.219 0.000 0.000 0.000 3.219 0.000 -1.609 -1.609 6.026" Properties=species:S:1:pos:R:3 pbc="T T T"
Ru 0.000 0.000 3.936
Hg 1.609 1.609 5.831
Pu 1.609 1.609 2.285
```

---

No. 14
VASP calculation (PBE) on a relaxed structure of Sn2MoIr.

The formation enthalpy at 0 K is 0.626 eV per atom. Its final energy is -6.298 eV/atom. As for the density: 10780 kg/m3. As for the volume: 161.91 Å³ per cell.

Geometry as extended XYZ:
```
8
Lattice="7.455 0.000 0.000 0.000 7.455 0.000 3.727 3.727 2.914" Properties=species:S:1:pos:R:3 pbc="T T T"
Mo 3.727 3.727 0.000
Mo 3.727 7.455 1.457
Ir 0.000 0.000 0.000
Ir 7.455 3.727 1.457
Sn 5.748 1.864 0.728
Sn 1.706 5.591 0.728
Sn 5.591 5.433 2.185
Sn 9.318 9.476 2.185
```

---

No. 15
VASP calculation (PBE) on a relaxed structure of LaNbW2.

The formation enthalpy at 0 K is 1.115 eV per atom. Its final energy is -9.111 eV/atom. As for the density: 11594 kg/m3. As for the volume: 171.72 Å³ per cell.

Geometry as extended XYZ:
```
8
Lattice="7.821 0.000 0.000 0.000 7.821 0.000 3.911 3.911 2.807" Properties=species:S:1:pos:R:3 pbc="T T T"
Nb 3.911 3.911 0.000
Nb 3.911 7.821 1.403
W 5.612 1.955 0.702
W 2.209 5.866 0.702
W 5.866 6.120 2.105
W 9.777 9.523 2.105
La 0.000 0.000 0.000
La 7.821 3.911 1.403
```

---

No. 16
VASP calculation (PBE) on a relaxed structure of NaTa2BeC.

The formation enthalpy at 0 K is 2.017 eV per atom. Its final energy is -5.577 eV/atom. As for the density: 8293 kg/m3. As for the volume: 81.28 Å³ per cell.

Geometry as extended XYZ:
```
5
Lattice="-3.973 -1.619 0.765 0.837 -0.072 4.196 -1.574 4.046 0.384" Properties=species:S:1:pos:R:3 pbc="T T T"
Na 0.419 -0.036 2.098
C -2.355 1.177 2.672
Be 0.000 0.000 0.000
Ta -0.787 2.023 0.192
Ta -1.987 -0.809 0.382
```

---

No. 17
VASP calculation (PBE) on a relaxed structure of MnCu2Cl.

For the formation energy (no corrections), the calculation gives 0.35 eV/atom. Its final energy is -4.453 eV/atom. As for the density: 5635 kg/m3. As for the volume: 64.09 Å³ per cell.

Geometry as extended XYZ:
```
4
Lattice="5.116 -0.094 0.047 1.688 4.830 -0.047 -2.547 -3.597 2.600" Properties=species:S:1:pos:R:3 pbc="T T T"
Cl 1.349 1.854 1.277
Cu 6.778 4.718 0.000
Cu 2.972 -0.671 1.323
Mn 3.365 2.342 0.000
```

---

No. 18
VASP calculation (PBE) on a relaxed structure of Li13Bi3.

The formation enthalpy at 0 K is -0.239 eV per atom. Its final energy is -2.521 eV/atom. As for the density: 3607 kg/m3. As for the volume: 330.14 Å³ per cell.

Geometry as extended XYZ:
```
16
Lattice="-2.420 -3.638 -5.210 6.498 -0.975 -1.749 0.199 -5.908 4.033" Properties=species:S:1:pos:R:3 pbc="T T T"
Li -1.019 -3.330 -1.635
Li 2.117 -4.039 -2.285
Li 0.926 -5.530 -4.954
Li 3.135 -3.467 -5.233
Li 1.055 -1.114 -1.683
Li 3.996 -1.722 -2.720
Li -0.920 -6.267 0.370
Li 2.199 -6.470 -0.626
Li 1.025 -8.467 -2.949
Li -0.326 -5.996 -2.419
Li 3.267 -6.465 -3.283
Li 1.112 -4.026 0.396
Li 4.251 -4.630 -0.644
Bi 6.208 -2.542 -0.881
Bi 0.487 -2.770 -4.082
Bi 6.308 -5.519 1.151
```

---

No. 19
VASP calculation (PBE) on a relaxed structure of Sm7Dy2Tm2.

The formation enthalpy at 0 K is 0.114 eV per atom. Its final energy is -4.538 eV/atom. As for the density: 7800 kg/m3. As for the volume: 365.19 Å³ per cell.

Geometry as extended XYZ:
```
11
Lattice="5.359 0.000 -1.636 -1.224 6.995 -4.012 -0.066 0.613 9.379" Properties=species:S:1:pos:R:3 pbc="T T T"
Sm 0.642 0.533 2.103
Sm 0.134 3.377 0.437
Sm 1.553 6.433 -4.507
Sm 1.198 3.631 3.926
Sm 2.568 5.697 -1.181
Sm 3.629 5.919 2.292
Sm 4.360 1.800 4.688
Dy 0.435 6.806 1.425
Dy 3.335 2.505 1.331
Tm -0.761 4.350 -2.495
Tm 2.268 2.347 -2.164
```

---

No. 20
VASP calculation (PBE) on a relaxed structure of GaRePS2.

For the formation energy (no corrections), the calculation gives 0.34 eV/atom. Its final energy is -5.490 eV/atom. As for the density: 5627 kg/m3. As for the volume: 103.60 Å³ per cell.

Geometry as extended XYZ:
```
5
Lattice="-1.769 -0.418 4.369 -4.197 -1.217 -1.816 1.255 -4.453 0.083" Properties=species:S:1:pos:R:3 pbc="T T T"
Re 0.000 0.000 0.000
S -2.098 -0.608 -0.908
S -0.885 -0.209 2.184
Ga -2.356 -3.043 1.318
P 0.627 -2.226 0.041
```